{"formula": "RbNdHgS3", "functional": "PBE-GGA", "state": "optimized geometry", "lattice": [[8.418, 0.000, 0.000], [0.000, 4.241, 0.000], [-3.245, 0.000, 10.112]], "species": ["S", "S", "S", "S", "S", "S", "Nd", "Nd", "Hg", "Hg", "Rb", "Rb"], "fractional_positions": [[0.238, 0.750, 0.059], [0.762, 0.250, 0.941], [0.535, 0.250, 0.361], [0.927, 0.750, 0.653], [0.465, 0.750, 0.639], [0.073, 0.250, 0.347], [0.688, 0.250, 0.630], [0.312, 0.750, 0.370], [0.903, 0.750, 0.883], [0.097, 0.250, 0.117], [0.739, 0.750, 0.219], [0.261, 0.250, 0.781]], "energy_ev_per_atom": -4.28, "space_group": "P2_1/m"}

{"formula": "RbNdHg3Se4", "functional": "PBE-GGA", "state": "optimized geometry", "lattice": [[7.002, 0.000, 0.000], [0.000, 7.002, 0.000], [0.000, 0.000, 7.002]], "species": ["Se", "Se", "Se", "Se", "Rb", "Nd", "Hg", "Hg", "Hg"], "fractional_positions": [[0.771, 0.771, 0.771], [0.229, 0.771, 0.229], [0.229, 0.229, 0.771], [0.771, 0.229, 0.229], [0.500, 0.500, 0.500], [0.000, 0.000, 0.000], [0.000, 0.000, 0.500], [0.500, 0.000, 0.000], [0.000, 0.500, 0.000]], "energy_ev_per_atom": -2.95, "space_group": "P-43m"}

{"formula": "RbNdHgSe3", "functional": "PBE-GGA", "state": "optimized geometry", "lattice": [[-4.151, -5.428, -5.497], [-1.367, -2.386, 3.389], [-6.880, 8.020, 2.871]], "species": ["Hg", "Hg", "Se", "Se", "Se", "Se", "Se", "Se", "Rb", "Rb", "Nd", "Nd"], "fractional_positions": [[0.910, 0.750, 0.884], [0.090, 0.250, 0.116], [0.461, 0.750, 0.642], [0.243, 0.750, 0.059], [0.071, 0.250, 0.351], [0.539, 0.250, 0.358], [0.929, 0.750, 0.649], [0.757, 0.250, 0.941], [0.260, 0.250, 0.783], [0.740, 0.750, 0.217], [0.687, 0.250, 0.634], [0.313, 0.750, 0.366]], "energy_ev_per_atom": -3.94, "space_group": "P2_1/m"}

{"formula": "RbNdHgSe3", "functional": "PBE-GGA", "state": "optimized geometry", "lattice": [[9.360, -2.178, 0.000], [9.360, 2.178, 0.000], [-2.133, 0.000, 9.146]], "species": ["Rb", "Rb", "Se", "Se", "Se", "Se", "Se", "Se", "Nd", "Nd", "Hg", "Hg"], "fractional_positions": [[0.141, 0.141, 0.570], [0.859, 0.859, 0.430], [0.668, 0.668, 0.868], [0.331, 0.331, 0.706], [0.000, 0.000, 0.000], [0.669, 0.669, 0.294], [0.332, 0.332, 0.132], [0.500, 0.500, 0.500], [0.829, 0.829, 0.917], [0.171, 0.171, 0.083], [0.518, 0.518, 0.223], [0.482, 0.482, 0.777]], "energy_ev_per_atom": -3.86, "space_group": "C2/m"}

{"formula": "RbNdHgTe3", "functional": "PBE-GGA", "state": "optimized geometry", "lattice": [[16.421, 0.000, 0.000], [0.000, 4.609, 0.000], [0.000, 0.000, 12.226]], "species": ["Rb", "Rb", "Rb", "Rb", "Hg", "Hg", "Hg", "Hg", "Te", "Te", "Te", "Te", "Te", "Te", "Te", "Te", "Te", "Te", "Te", "Te", "Nd", "Nd", "Nd", "Nd"], "fractional_positions": [[0.234, 0.750, 0.546], [0.734, 0.750, 0.954], [0.766, 0.250, 0.454], [0.266, 0.250, 0.046], [0.018, 0.250, 0.608], [0.982, 0.750, 0.392], [0.482, 0.750, 0.108], [0.518, 0.250, 0.892], [0.097, 0.750, 0.083], [0.910, 0.750, 0.621], [0.853, 0.750, 0.239], [0.597, 0.750, 0.417], [0.353, 0.750, 0.261], [0.590, 0.250, 0.121], [0.647, 0.250, 0.739], [0.403, 0.250, 0.583], [0.903, 0.250, 0.917], [0.410, 0.750, 0.879], [0.090, 0.250, 0.379], [0.147, 0.250, 0.761], [0.525, 0.750, 0.653], [0.975, 0.250, 0.153], [0.025, 0.750, 0.847], [0.475, 0.250, 0.347]], "energy_ev_per_atom": -3.55, "de_polymorph_kcal_per_mol_atoms": 0.50, "space_group": "Pnma"}

{"formula": "RbNdHgTe3", "functional": "PBE-GGA", "state": "optimized geometry", "lattice": [[12.832, 0.000, 0.000], [0.000, 4.747, 0.000], [0.000, 0.000, 14.106]], "species": ["Te", "Te", "Te", "Te", "Te", "Te", "Te", "Te", "Te", "Te", "Te", "Te", "Rb", "Rb", "Rb", "Rb", "Hg", "Hg", "Hg", "Hg", "Nd", "Nd", "Nd", "Nd"], "fractional_positions": [[0.779, 0.750, 0.819], [0.221, 0.250, 0.181], [0.587, 0.750, 0.065], [0.033, 0.250, 0.837], [0.467, 0.750, 0.337], [0.413, 0.250, 0.935], [0.721, 0.250, 0.319], [0.913, 0.250, 0.565], [0.533, 0.250, 0.663], [0.967, 0.750, 0.163], [0.279, 0.750, 0.681], [0.087, 0.750, 0.435], [0.684, 0.750, 0.510], [0.816, 0.250, 0.010], [0.316, 0.250, 0.490], [0.184, 0.750, 0.990], [0.749, 0.250, 0.703], [0.751, 0.750, 0.203], [0.251, 0.750, 0.297], [0.249, 0.250, 0.797], [0.970, 0.250, 0.318], [0.030, 0.750, 0.682], [0.470, 0.250, 0.182], [0.530, 0.750, 0.818]], "energy_ev_per_atom": -3.51, "de_polymorph_kcal_per_mol_atoms": 1.38, "space_group": "Pnma"}

{"formula": "RbNdHgTe3", "functional": "PBE-GGA", "state": "optimized geometry", "lattice": [[-0.021, 1.718, 11.904], [4.398, -1.311, 0.197], [4.702, 15.445, -2.221]], "species": ["Hg", "Hg", "Hg", "Hg", "Nd", "Nd", "Nd", "Nd", "Rb", "Rb", "Rb", "Rb", "Te", "Te", "Te", "Te", "Te", "Te", "Te", "Te", "Te", "Te", "Te", "Te"], "fractional_positions": [[0.743, 0.750, 0.790], [0.757, 0.250, 0.290], [0.243, 0.750, 0.710], [0.257, 0.250, 0.210], [0.011, 0.750, 0.247], [0.511, 0.750, 0.253], [0.489, 0.250, 0.747], [0.989, 0.250, 0.753], [0.736, 0.250, 0.996], [0.236, 0.250, 0.504], [0.764, 0.750, 0.496], [0.264, 0.750, 0.004], [0.439, 0.750, 0.615], [0.041, 0.750, 0.621], [0.760, 0.750, 0.178], [0.459, 0.250, 0.121], [0.959, 0.250, 0.379], [0.939, 0.750, 0.885], [0.260, 0.750, 0.322], [0.740, 0.250, 0.678], [0.061, 0.250, 0.115], [0.541, 0.750, 0.879], [0.561, 0.250, 0.385], [0.240, 0.250, 0.822]], "energy_ev_per_atom": -3.57, "de_polymorph_kcal_per_mol_atoms": 0.02, "space_group": "Pnma"}

{"formula": "RbNdHg3Te4", "functional": "PBE-GGA", "state": "optimized geometry", "lattice": [[-3.437, 4.568, -4.710], [-5.103, 1.481, 5.160], [4.124, 5.640, 2.460]], "species": ["Hg", "Hg", "Hg", "Te", "Te", "Te", "Te", "Rb", "Nd"], "fractional_positions": [[0.000, 0.000, 0.500], [0.000, 0.500, 0.000], [0.500, 0.000, 0.000], [0.769, 0.231, 0.231], [0.231, 0.231, 0.769], [0.769, 0.769, 0.769], [0.231, 0.769, 0.231], [0.500, 0.500, 0.500], [0.000, 0.000, 0.000]], "energy_ev_per_atom": -2.63, "space_group": "P-43m"}

{"formula": "RbNdHgTe3", "functional": "PBE-GGA", "state": "optimized geometry", "lattice": [[9.336, 0.000, 0.000], [0.000, 4.606, 0.000], [-3.614, 0.000, 10.809]], "species": ["Te", "Te", "Te", "Te", "Te", "Te", "Rb", "Rb", "Nd", "Nd", "Hg", "Hg"], "fractional_positions": [[0.429, 0.750, 0.637], [0.571, 0.250, 0.363], [0.739, 0.750, 0.056], [0.261, 0.250, 0.944], [0.959, 0.750, 0.651], [0.041, 0.250, 0.349], [0.248, 0.750, 0.215], [0.752, 0.250, 0.785], [0.813, 0.750, 0.364], [0.187, 0.250, 0.636], [0.587, 0.250, 0.121], [0.413, 0.750, 0.879]], "energy_ev_per_atom": -3.54, "de_polymorph_kcal_per_mol_atoms": 0.54, "space_group": "P2_1/m"}

{"formula": "RbNdHgTe3", "functional": "PBE-GGA", "state": "optimized geometry", "lattice": [[-2.042, 5.296, 6.401], [-6.003, 3.536, 4.965], [1.165, -9.001, 7.819]], "species": ["Nd", "Nd", "Te", "Te", "Te", "Te", "Te", "Te", "Hg", "Hg", "Rb", "Rb"], "fractional_positions": [[0.000, 0.000, 0.000], [0.000, 0.000, 0.500], [0.368, 0.368, 0.449], [0.368, 0.368, 0.051], [0.632, 0.632, 0.949], [0.927, 0.927, 0.750], [0.073, 0.073, 0.250], [0.632, 0.632, 0.551], [0.539, 0.539, 0.750], [0.461, 0.461, 0.250], [0.754, 0.754, 0.250], [0.246, 0.246, 0.750]], "energy_ev_per_atom": -3.57, "de_polymorph_kcal_per_mol_atoms": 0.00, "space_group": "Cmcm"}

{"formula": "RbNdHgTe3", "functional": "PBE-GGA", "state": "optimized geometry", "lattice": [[9.079, 0.000, 0.000], [0.000, 4.878, 0.000], [0.000, 0.000, 18.940]], "species": ["Rb", "Rb", "Rb", "Rb", "Te", "Te", "Te", "Te", "Te", "Te", "Te", "Te", "Te", "Te", "Te", "Te", "Hg", "Hg", "Hg", "Hg", "Nd", "Nd", "Nd", "Nd"], "fractional_positions": [[0.597, 0.750, 0.689], [0.403, 0.250, 0.311], [0.903, 0.250, 0.189], [0.097, 0.750, 0.811], [0.868, 0.750, 0.050], [0.632, 0.250, 0.550], [0.368, 0.750, 0.450], [0.132, 0.250, 0.950], [0.001, 0.750, 0.576], [0.501, 0.750, 0.924], [0.795, 0.250, 0.791], [0.205, 0.750, 0.209], [0.499, 0.250, 0.076], [0.295, 0.250, 0.709], [0.999, 0.250, 0.424], [0.705, 0.750, 0.291], [0.966, 0.250, 0.663], [0.466, 0.250, 0.837], [0.034, 0.750, 0.337], [0.534, 0.750, 0.163], [0.724, 0.750, 0.457], [0.276, 0.250, 0.543], [0.224, 0.750, 0.043], [0.776, 0.250, 0.957]], "energy_ev_per_atom": -3.47, "de_polymorph_kcal_per_mol_atoms": 2.27, "space_group": "Pnma"}

{"formula": "RbNdHgTe3", "functional": "PBE-GGA", "state": "optimized geometry", "lattice": [[-7.142, 7.703, 1.046], [-5.765, 7.019, 5.378], [8.220, 5.147, -1.800]], "species": ["Rb", "Rb", "Te", "Te", "Te", "Te", "Te", "Te", "Nd", "Nd", "Hg", "Hg"], "fractional_positions": [[0.140, 0.140, 0.068], [0.860, 0.860, 0.932], [0.500, 0.500, 0.000], [0.327, 0.327, 0.202], [0.673, 0.673, 0.798], [0.328, 0.328, 0.641], [0.672, 0.672, 0.359], [0.000, 0.000, 0.500], [0.173, 0.173, 0.577], [0.827, 0.827, 0.423], [0.529, 0.529, 0.721], [0.471, 0.471, 0.279]], "energy_ev_per_atom": -3.45, "de_polymorph_kcal_per_mol_atoms": 2.60, "space_group": "C2/m"}